Tb3Al: optimized geometry, PBE.

Unit cell a=4.7028 b=4.7028 c=9.7968 alpha=90.00 beta=90.00 gamma=90.00
With the nearest neighbours (Å) after each atom.
Space group I4/mmm (No. 139)
Inequivalent atoms, fractional coordinates:
Tb: 0.0000 0.0000 0.0000 x2  4 Al 3.33, 8 Tb 3.40
Tb: 0.0000 0.5000 0.2500 x4  8 Tb 3.33-3.40, 4 Al 3.40
Al: 0.0000 0.0000 0.5000 x2  12 Tb 3.33-3.40

size of the total moment	0.032	μB/atom
crystal system	tetragonal
total DFT energy (no corrections)	-18.24	eV/f.u.